LaBeSe: optimized geometry, PBE-GGA.

Values from the calculation:
- Symmetry: P-6m2
- ΔE_f (raw): -0.6905 eV per atom
- Crystal system: hexagonal
- Relative energy among the computed polymorphs: 0 meV/atom
- VASP energy: -14.2 eV for the cell shown

Cell and atoms, written as POSCAR:
```
LaBeSe
1.0
-0.013 -1.663 -3.593
2.878 -0.873 2.575
-2.445 -3.398 1.582
La Be Se
1 1 1
direct
0.667 0.333 0.333
0.000 0.000 0.833
0.333 0.667 0.833
```


LaBe4Se: optimized geometry, PBE-GGA.

Values from the calculation:
- Symmetry: F-43m
- ΔE_f (raw): 0.3927 eV per atom
- Crystal system: cubic
- VASP energy: -21.0 eV for the cell shown

Cell and atoms, written as POSCAR:
```
LaBe4Se
1.0
0.000 3.586 3.586
3.586 0.000 3.586
3.586 3.586 0.000
Be Se La
4 1 1
direct
0.370 0.890 0.370
0.370 0.370 0.370
0.890 0.370 0.370
0.370 0.370 0.890
0.000 0.000 0.000
0.750 0.750 0.750
```


La2BeSe: optimized geometry, PBE-GGA.

Values from the calculation:
- Symmetry: P4/mmm
- ΔE_f (raw): -0.7681 eV per atom
- Crystal system: tetragonal
- Relative energy among the computed polymorphs: 0 meV/atom
- VASP energy: -20.1 eV for the cell shown

Cell and atoms, written as POSCAR:
```
La2BeSe
1.0
4.305 0.000 0.000
0.000 4.305 0.000
0.000 0.000 6.089
Be La Se
1 2 1
direct
0.500 0.500 0.875
0.500 0.500 0.375
0.000 0.000 0.875
0.000 0.000 0.375
```


La2BeSe: optimized geometry, PBE-GGA.

Values from the calculation:
- Symmetry: I-42d
- ΔE_f (raw): -0.4415 eV per atom
- Crystal system: tetragonal
- Relative energy among the computed polymorphs: 327 meV/atom
- VASP energy: -37.7 eV for the cell shown

Cell and atoms, written as POSCAR:
```
La2BeSe
1.0
7.735 0.000 0.000
0.000 7.735 0.000
3.867 3.867 3.858
Se La Be
2 4 2
direct
0.750 0.250 0.500
0.000 0.000 0.000
0.139 0.625 0.250
0.611 0.125 0.250
0.375 0.389 0.750
0.875 0.861 0.750
0.250 0.750 0.500
0.500 0.500 0.000
```